# Pm3Tm4Hg

A geometry-optimized Pm3Tm4Hg structure (PBE-GGA, Alexandria).

Results
- Energy of formation from the pure elements: -0.87 eV/f.u.
- E: -4.164 eV per atom

Cell: 3.5764 3.5764 18.9782 Å, 90.00 90.00 90.00°
With the nearest neighbours (Å) after each atom.
Sites, in units of the cell vectors:
Pm 0.0000 0.0000 0.0000  8 Tm 3.57, 4 Pm 3.58
Pm 0.0000 0.0000 0.2646  8 Tm 3.56-3.57, 4 Pm 3.58
Pm 0.0000 0.0000 0.7354  8 Tm 3.56-3.57, 4 Pm 3.58
Tm 0.5000 0.5000 0.1325  8 Pm 3.56-3.57, 4 Tm 3.58
Tm 0.5000 0.5000 0.3971  4 Hg 3.20, 4 Pm 3.57, 4 Tm 3.58
Tm 0.5000 0.5000 0.6029  4 Hg 3.20, 4 Pm 3.57, 4 Tm 3.58
Tm 0.5000 0.5000 0.8675  8 Pm 3.56-3.57, 4 Tm 3.58
Hg 0.0000 0.0000 0.5000  8 Tm 3.20, 4 Hg 3.58

=====

# YPSCl2

A geometry-optimized YPSCl2 structure (PBE-GGA, Alexandria).

Results
- Offset from the most stable computed form: 0.325 eV/atom
- E: -4.263 eV per atom
- Formation energy (no corrections): -0.32 eV per atom

Cell: 4.7207 4.7207 4.8962 Å, 90.00 90.00 90.00°
With the nearest neighbours (Å) after each atom.
Sites, in units of the cell vectors:
Y 0.0000 0.0000 0.0000  4 S 3.34, 8 Cl 3.40
P 0.5000 0.5000 0.5000  4 Cl 2.36, 2 S 2.45
S 0.5000 0.5000 0.0000  2 P 2.45
Cl 0.0000 0.5000 0.5000  2 P 2.36
Cl 0.5000 0.0000 0.5000  2 P 2.36

=====

# Mg7GaHg2

A geometry-optimized Mg7GaHg2 structure (PBE-GGA, Alexandria).

Results
- Energy of formation from the pure elements: -1.21 eV/f.u.
- E: -1.600 eV per atom

Cell: 4.7632 4.7632 11.5921 Å, 90.00 90.00 120.00°
With the nearest neighbours (Å) after each atom.
Sites, in units of the cell vectors:
Mg 0.0000 0.0000 0.0000  8 Mg 3.01-3.06, 3 Ga 3.28, 3 Hg 3.30
Mg 0.0000 0.0000 0.2593  1 Hg 2.79, 3 Ga 3.01, 1 Mg 3.01
Mg 0.0000 0.0000 0.7404  4 Hg 2.78-3.00, 1 Mg 3.01
Mg 0.3333 0.6667 0.4125  3 Hg 2.93, 1 Ga 2.99, 3 Mg 3.27
Mg 0.3333 0.6667 0.8900  3 Hg 2.80, 3 Mg 3.03, 1 Ga 3.07
Mg 0.6667 0.3333 0.1150  3 Ga 2.79, 3 Mg 3.06
Mg 0.6667 0.3333 0.5843  4 Hg 2.92-3.00
Ga 0.3333 0.6667 0.1547  8 Mg 2.79-3.07
Hg 0.0000 0.0000 0.5002  8 Mg 2.78-2.93
Hg 0.6667 0.3333 0.8434  7 Mg 2.80-3.00

=====

What did the third record say?
# Mg7GaHg2

A geometry-optimized Mg7GaHg2 structure (PBE-GGA, Alexandria).

Results
- Energy of formation from the pure elements: -1.21 eV/f.u.
- E: -1.600 eV per atom

Cell: 4.7632 4.7632 11.5921 Å, 90.00 90.00 120.00°
With the nearest neighbours (Å) after each atom.
Sites, in units of the cell vectors:
Mg 0.0000 0.0000 0.0000  8 Mg 3.01-3.06, 3 Ga 3.28, 3 Hg 3.30
Mg 0.0000 0.0000 0.2593  1 Hg 2.79, 3 Ga 3.01, 1 Mg 3.01
Mg 0.0000 0.0000 0.7404  4 Hg 2.78-3.00, 1 Mg 3.01
Mg 0.3333 0.6667 0.4125  3 Hg 2.93, 1 Ga 2.99, 3 Mg 3.27
Mg 0.3333 0.6667 0.8900  3 Hg 2.80, 3 Mg 3.03, 1 Ga 3.07
Mg 0.6667 0.3333 0.1150  3 Ga 2.79, 3 Mg 3.06
Mg 0.6667 0.3333 0.5843  4 Hg 2.92-3.00
Ga 0.3333 0.6667 0.1547  8 Mg 2.79-3.07
Hg 0.0000 0.0000 0.5002  8 Mg 2.78-2.93
Hg 0.6667 0.3333 0.8434  7 Mg 2.80-3.00